(1)
VASP calculation (PBE) on an optimized crystal structure of TbAl3GaNi.

The structure belongs to space group Cmcm (No. 63); the cell edges are 4.0611, 15.3898 and 6.6446 Å and the angles 90.00°, 90.00° and 90.00°. The inequivalent atoms are Tb at (0.0000, 0.1159, 0.2500), Al at (0.0000, 0.0764, 0.7500), Al at (0.0000, 0.3105, 0.0531), Ga at (0.0000, 0.5000, 0.0000) and Ni at (0.0000, 0.2262, 0.7500).

(2)
VASP calculation (PBE) on an optimized crystal structure of TbAlGa3Ni.

The structure belongs to space group Cmcm (No. 63); the cell edges are 4.1065, 15.3318 and 6.5326 Å and the angles 90.00°, 90.00° and 90.00°. The inequivalent atoms are Tb at (0.0000, 0.1194, 0.2500), Al at (0.0000, 0.5000, 0.0000), Ga at (0.0000, 0.0709, 0.7500), Ga at (0.0000, 0.3151, 0.0507) and Ni at (0.0000, 0.2240, 0.7500).

(3)
VASP calculation (PBE) on an optimized crystal structure of TmAl2Ga2Ni.

The structure belongs to space group Cmcm (No. 63); the cell edges are 4.0677, 15.1941 and 6.5274 Å and the angles 90.00°, 90.00° and 90.00°. The inequivalent atoms are Tm at (0.0000, 0.1230, 0.2500), Al at (0.0000, 0.0718, 0.7500), Al at (0.0000, 0.5000, 0.0000), Ga at (0.0000, 0.3175, 0.0504) and Ni at (0.0000, 0.2253, 0.7500).

What calculated density values result from the calculations? In sequence: 5890; 7328; 6932 kg/m3.
What E values result from the calculations? In sequence: -4.66; -4.37; -4.43 eV per atom.